Record 1
Entry from Alexandria: a relaxed RbMg2Cl crystal (GGA-PBE).

a b c (Å): 8.499 8.499 8.499
angles (deg): 90.00 90.00 90.00
Space group Fm-3m (No. 225)
Asymmetric unit:
Rb 0.000 0.000 0.000 (multiplicity 4)
Mg 0.250 0.250 0.250 (multiplicity 8)
Cl 0.000 0.000 0.500 (multiplicity 4)

Summary:
spin magnetization	0.0	Bohr magnetons per cell
E_form (uncorrected)	-0.081	eV per atom
final energy	-1.5821	eV per atom
energy relative to the lowest polymorph listed for this composition	0.287	eV/atom
crystal system	cubic

---

Record 2
Entry from Alexandria: a relaxed Rb2MgCl4 crystal (GGA-PBE).

a b c (Å): 5.071 5.071 16.360
angles (deg): 90.00 90.00 90.00
Space group I4/mmm (No. 139)
Asymmetric unit:
Rb 0.000 0.000 0.143 (multiplicity 4)
Mg 0.000 0.000 0.500 (multiplicity 2)
Cl 0.000 0.000 0.346 (multiplicity 4)
Cl 0.000 0.500 0.000 (multiplicity 4)

Summary:
spin magnetization	0.0	Bohr magnetons per cell
E_form (uncorrected)	-1.932	eV per atom
final energy	-3.4917	eV per atom
energy relative to the lowest polymorph listed for this composition	0.000	eV/atom
crystal system	tetragonal

---

Record 3
Entry from Alexandria: a relaxed RbMgCl3 crystal (GGA-PBE).

a b c (Å): 7.1960 7.1960 17.8047
angles (deg): 90.00 90.00 120.00
Space group P6_3/mmc (No. 194)
Asymmetric unit:
Rb 0.0000 0.0000 0.2500 (multiplicity 2)
Rb 0.3333 0.6667 0.0872 (multiplicity 4)
Mg 0.0000 0.0000 0.0000 (multiplicity 2)
Mg 0.3333 0.6667 0.6605 (multiplicity 4)
Cl 0.0189 0.5094 0.7500 (multiplicity 6)
Cl 0.1659 0.3318 0.5817 (multiplicity 12)

Summary:
spin magnetization	0.0	Bohr magnetons per cell
E_form (uncorrected)	-1.915	eV per atom
final energy	-3.5358	eV per atom
crystal system	hexagonal

---

Record 4
Entry from Alexandria: a relaxed RbMg2Cl crystal (GGA-PBE).

a b c (Å): 9.605 9.605 6.240
angles (deg): 90.00 90.00 90.00
Space group I-42d (No. 122)
Asymmetric unit:
Rb 0.000 0.000 0.000 (multiplicity 4)
Mg 0.197 0.250 0.625 (multiplicity 8)
Cl 0.000 0.000 0.500 (multiplicity 4)

Summary:
spin magnetization	0.0	Bohr magnetons per cell
E_form (uncorrected)	-0.368	eV per atom
final energy	-1.8691	eV per atom
energy relative to the lowest polymorph listed for this composition	0.000	eV/atom
crystal system	tetragonal

---

Record 5
Entry from Alexandria: a relaxed Rb2MgCl3 crystal (GGA-PBE).

a b c (Å): 4.499 5.172 16.932
angles (deg): 90.00 90.00 90.00
Space group Immm (No. 71)
Asymmetric unit:
Rb 0.000 0.000 0.146 (multiplicity 4)
Mg 0.000 0.000 0.500 (multiplicity 2)
Cl 0.000 0.000 0.347 (multiplicity 4)
Cl 0.000 0.500 0.500 (multiplicity 2)

Summary:
spin magnetization	1.4	Bohr magnetons per cell
E_form (uncorrected)	-1.569	eV per atom
final energy	-3.0802	eV per atom
crystal system	orthorhombic

---

Record 6
Entry from Alexandria: a relaxed Rb2MgCl4 crystal (GGA-PBE).

a b c (Å): 7.549 7.273 9.283
angles (deg): 90.00 108.74 90.00
Space group P2_1/m (No. 11)
Asymmetric unit:
Rb 0.209 0.250 0.051 (multiplicity 2)
Rb 0.288 0.250 0.570 (multiplicity 2)
Mg 0.233 0.750 0.796 (multiplicity 2)
Cl 0.020 0.503 0.739 (multiplicity 4)
Cl 0.403 0.750 0.057 (multiplicity 2)
Cl 0.425 0.750 0.642 (multiplicity 2)

Summary:
spin magnetization	0.0	Bohr magnetons per cell
E_form (uncorrected)	-1.925	eV per atom
final energy	-3.4841	eV per atom
energy relative to the lowest polymorph listed for this composition	0.008	eV/atom
crystal system	monoclinic

---

Record 7
Entry from Alexandria: a relaxed Rb3Mg5Cl12 crystal (GGA-PBE).

a b c (Å): 16.733 16.733 16.733
angles (deg): 90.00 90.00 90.00
Space group Ia-3d (No. 230)
Asymmetric unit:
Rb 0.000 0.250 0.125 (multiplicity 24)
Mg 0.000 0.000 0.000 (multiplicity 16)
Mg 0.000 0.250 0.375 (multiplicity 24)
Cl 0.037 0.046 0.645 (multiplicity 96)

Summary:
spin magnetization	0.0	Bohr magnetons per cell
E_form (uncorrected)	-1.758	eV per atom
final energy	-3.4099	eV per atom
crystal system	cubic

---

Record 8
Entry from Alexandria: a relaxed RbMgCl3 crystal (GGA-PBE).

a b c (Å): 7.2283 7.2283 6.2270
angles (deg): 90.00 90.00 120.00
Space group P6_3/mmc (No. 194)
Asymmetric unit:
Rb 0.3333 0.6667 0.2500 (multiplicity 2)
Mg 0.0000 0.0000 0.0000 (multiplicity 2)
Cl 0.1577 0.3153 0.7500 (multiplicity 6)

Summary:
spin magnetization	0.0	Bohr magnetons per cell
E_form (uncorrected)	-1.926	eV per atom
final energy	-3.5468	eV per atom
crystal system	hexagonal

---

Record 9
Entry from Alexandria: a relaxed RbMgCl2 crystal (GGA-PBE).

a b c (Å): 7.682 7.682 7.682
angles (deg): 90.00 90.00 90.00
Space group Fm-3m (No. 225)
Asymmetric unit:
Rb 0.000 0.000 0.000 (multiplicity 4)
Mg 0.000 0.000 0.500 (multiplicity 4)
Cl 0.250 0.250 0.250 (multiplicity 8)

Summary:
spin magnetization	3.7	Bohr magnetons per cell
E_form (uncorrected)	-1.124	eV per atom
final energy	-2.6881	eV per atom
energy relative to the lowest polymorph listed for this composition	0.183	eV/atom
crystal system	cubic

---

Record 10
Entry from Alexandria: a relaxed RbMgCl3 crystal (GGA-PBE).

a b c (Å): 13.235 9.978 4.911
angles (deg): 90.00 90.33 90.00
Space group Cm (No. 8)
Asymmetric unit:
Rb 0.000 0.000 0.000 (multiplicity 2)
Rb 0.081 0.500 0.535 (multiplicity 2)
Mg 0.291 0.171 0.266 (multiplicity 4)
Cl 0.168 0.293 0.034 (multiplicity 4)
Cl 0.193 0.000 0.497 (multiplicity 2)
Cl 0.388 0.000 0.037 (multiplicity 2)
Cl 0.412 0.293 0.500 (multiplicity 4)

Summary:
spin magnetization	0.0	Bohr magnetons per cell
E_form (uncorrected)	-1.881	eV per atom
final energy	-3.5018	eV per atom
crystal system	monoclinic

---

Record 11
Entry from Alexandria: a relaxed Rb2Mg2Cl5 crystal (GGA-PBE).

a b c (Å): 14.601 5.354 7.906
angles (deg): 90.00 110.03 90.00
Space group C2/m (No. 12)
Asymmetric unit:
Rb 0.105 0.000 0.315 (multiplicity 4)
Mg 0.154 0.500 0.892 (multiplicity 4)
Cl 0.000 0.500 0.000 (multiplicity 2)
Cl 0.151 0.500 0.586 (multiplicity 4)
Cl 0.161 0.000 0.931 (multiplicity 4)

Summary:
spin magnetization	0.0	Bohr magnetons per cell
E_form (uncorrected)	-1.616	eV per atom
final energy	-3.2114	eV per atom
crystal system	monoclinic

---

Record 12
Entry from Alexandria: a relaxed Rb2MgCl2 crystal (GGA-PBE).

a b c (Å): 6.999 6.999 5.160
angles (deg): 90.00 90.00 90.00
Space group P4/mmm (No. 123)
Asymmetric unit:
Rb 0.000 0.500 0.000 (multiplicity 2)
Mg 0.000 0.000 0.000 (multiplicity 1)
Cl 0.000 0.000 0.500 (multiplicity 1)
Cl 0.500 0.500 0.500 (multiplicity 1)

Summary:
spin magnetization	0.0	Bohr magnetons per cell
E_form (uncorrected)	-0.854	eV per atom
final energy	-2.2986	eV per atom
crystal system	tetragonal

---

Record 13
Entry from Alexandria: a relaxed RbMg2Cl5 crystal (GGA-PBE).

a b c (Å): 5.334 11.984 12.852
angles (deg): 90.00 90.00 90.00
Space group Cmcm (No. 63)
Asymmetric unit:
Rb 0.000 0.015 0.250 (multiplicity 4)
Mg 0.000 0.355 0.055 (multiplicity 8)
Cl 0.000 0.168 0.534 (multiplicity 8)
Cl 0.000 0.295 0.250 (multiplicity 4)
Cl 0.000 0.450 0.616 (multiplicity 8)

Summary:
spin magnetization	0.0	Bohr magnetons per cell
E_form (uncorrected)	-1.843	eV per atom
final energy	-3.5164	eV per atom
crystal system	orthorhombic

---

Record 14
Entry from Alexandria: a relaxed Rb6MgCl8 crystal (GGA-PBE).

a b c (Å): 9.6175 9.6175 18.9079
angles (deg): 90.00 90.00 120.00
Space group R-3 (No. 148, hexagonal axes)
Asymmetric unit:
Rb 0.0229 0.6197 0.4183 (multiplicity 18)
Mg 0.0000 0.0000 0.5000 (multiplicity 3)
Cl 0.0000 0.0000 0.1534 (multiplicity 6)
Cl 0.0113 0.7858 0.5786 (multiplicity 18)

Summary:
spin magnetization	0.0	Bohr magnetons per cell
E_form (uncorrected)	-1.896	eV per atom
final energy	-3.3745	eV per atom
crystal system	trigonal

---

Record 15
Entry from Alexandria: a relaxed RbMgCl3 crystal (GGA-PBE).

a b c (Å): 7.2079 7.2079 12.0016
angles (deg): 90.00 90.00 120.00
Space group P6_3/mmc (No. 194)
Asymmetric unit:
Rb 0.0000 0.0000 0.0000 (multiplicity 2)
Rb 0.3333 0.6667 0.2500 (multiplicity 2)
Mg 0.3333 0.6667 0.6182 (multiplicity 4)
Cl 0.0000 0.5000 0.0000 (multiplicity 6)
Cl 0.1760 0.3521 0.7500 (multiplicity 6)

Summary:
spin magnetization	0.0	Bohr magnetons per cell
E_form (uncorrected)	-1.919	eV per atom
final energy	-3.5399	eV per atom
crystal system	hexagonal

---

Record 16
Entry from Alexandria: a relaxed Rb4Mg3Cl10 crystal (GGA-PBE).

a b c (Å): 5.068 5.068 36.538
angles (deg): 90.00 90.00 90.00
Space group I4/mmm (No. 139)
Asymmetric unit:
Rb 0.000 0.000 0.068 (multiplicity 4)
Rb 0.000 0.000 0.201 (multiplicity 4)
Mg 0.000 0.000 0.360 (multiplicity 4)
Mg 0.000 0.000 0.500 (multiplicity 2)
Cl 0.000 0.000 0.292 (multiplicity 4)
Cl 0.000 0.000 0.431 (multiplicity 4)
Cl 0.000 0.500 0.000 (multiplicity 4)
Cl 0.000 0.500 0.137 (multiplicity 8)

Summary:
spin magnetization	0.0	Bohr magnetons per cell
E_form (uncorrected)	-1.918	eV per atom
final energy	-3.5136	eV per atom
crystal system	tetragonal

---

Record 17
Entry from Alexandria: a relaxed RbMgCl2 crystal (GGA-PBE).

a b c (Å): 4.5718 4.5718 25.8377
angles (deg): 90.00 90.00 120.00
Space group R-3m (No. 166, hexagonal axes)
Asymmetric unit:
Rb 0.0000 0.0000 0.0000 (multiplicity 3)
Mg 0.0000 0.0000 0.5000 (multiplicity 3)
Cl 0.0000 0.0000 0.4076 (multiplicity 6)

Summary:
spin magnetization	0.0	Bohr magnetons per cell
E_form (uncorrected)	-1.307	eV per atom
final energy	-2.8711	eV per atom
energy relative to the lowest polymorph listed for this composition	0.000	eV/atom
crystal system	trigonal

---

Record 18
Entry from Alexandria: a relaxed Rb2MgCl5 crystal (GGA-PBE).

a b c (Å): 5.594 16.247 13.958
angles (deg): 90.00 90.00 90.00
Space group Cmcm (No. 63)
Asymmetric unit:
Rb 0.000 0.149 0.079 (multiplicity 8)
Mg 0.000 0.182 0.750 (multiplicity 4)
Cl 0.000 0.048 0.654 (multiplicity 8)
Cl 0.000 0.268 0.611 (multiplicity 8)
Cl 0.000 0.303 0.250 (multiplicity 4)

Summary:
spin magnetization	4.4	Bohr magnetons per cell
E_form (uncorrected)	-1.536	eV per atom
final energy	-3.1317	eV per atom
crystal system	orthorhombic